Record 1
The following is a DFT calculation (PBE) of a relaxed structure of K2Rb2RuO6.

Output
* ΔE_f (raw): -1.141 eV/atom

a b c (Å): 6.2297 6.2297 6.5779
angles (deg): 99.86 99.86 115.91
With the nearest neighbours (Å) after each atom.
Sites, in units of the cell vectors:
K1 0.1558 0.8442 0.0000  6 O 2.66-2.75
K2 0.8442 0.1558 0.0000  6 O 2.66-2.75
Rb1 0.3245 0.6755 0.5000  4 O 2.75-2.80
Rb2 0.6755 0.3245 0.5000  4 O 2.75-2.80
Ru1 0.5000 0.5000 0.0000  6 O 1.90
O1 0.1967 0.4507 0.8260  1 Ru 1.90
O2 0.3265 0.3265 0.1814  1 Ru 1.90
O3 0.4507 0.1967 0.8260  1 Ru 1.90
O4 0.5493 0.8033 0.1740  1 Ru 1.90
O5 0.6735 0.6735 0.8186  1 Ru 1.90
O6 0.8033 0.5493 0.1740  1 Ru 1.90

Record 2
The following is a DFT calculation (PBE) of a relaxed structure of ZrTlH.

Output
* total DFT energy (no corrections): -5.06 eV/atom
* DOS(E_F): 1.1 states/eV/f.u.

a b c (Å): 3.4516 3.4516 4.8929
angles (deg): 90.00 90.00 120.00
With the nearest neighbours (Å) after each atom.
Sites, in units of the cell vectors:
Zr1 0.0000 0.0000 0.0000  3 H 1.99
Tl1 0.6667 0.3333 0.5000  6 Zr 3.16, 6 H 3.16, 6 Tl 3.45
H1 0.3333 0.6667 0.0000  3 Zr 1.99

Record 3
The following is a DFT calculation (PBE) of a relaxed structure of KLa2Mn.

Output
* formation energy from the elements: 0.4430 eV/atom
* DOS(E_F): 3.8 states/eV/f.u.

a b c (Å): 7.9483 7.9483 7.9483
angles (deg): 60.00 60.00 60.00
With the nearest neighbours (Å) after each atom.
Sites, in units of the cell vectors:
K1 0.1250 0.1250 0.1250  12 La 4.66, 4 Mn 4.87, 4 K 4.87
K2 0.8750 0.8750 0.8750  12 La 4.66, 4 Mn 4.87, 4 K 4.87
La1 0.0000 0.5000 0.5000  2 Mn 2.43
La2 0.5000 0.0000 0.5000  2 Mn 2.43
La3 0.5000 0.5000 0.0000  2 Mn 2.43
La4 0.5000 0.5000 0.5000  2 Mn 2.43
Mn1 0.3750 0.3750 0.3750  4 La 2.43
Mn2 0.6250 0.6250 0.6250  4 La 2.43

Record 4
The following is a DFT calculation (PBE) of a relaxed structure of Ba2Sr4Sb3Cl2.

Output
* ΔE_f (raw): -1.286 eV/atom
* DOS(E_F): 5.3 states/eV/f.u.

a b c (Å): 14.0111 14.0111 14.0111
angles (deg): 157.01 157.01 32.74
With the nearest neighbours (Å) after each atom.
Sites, in units of the cell vectors:
Ba1 0.2048 0.2048 0.0000  1 Cl 3.30, 1 Sb 3.49
Ba2 0.7952 0.7952 0.0000  1 Cl 3.30, 1 Sb 3.49
Sr1 0.0797 0.5797 0.5000  2 Cl 2.79
Sr2 0.4203 0.9203 0.5000  2 Cl 2.79
Sr3 0.5797 0.0797 0.5000  2 Cl 2.79
Sr4 0.9203 0.4203 0.5000  2 Cl 2.79
Sb1 0.3347 0.3347 0.0000  1 Ba 3.49, 4 Sr 3.62
Sb2 0.5000 0.5000 0.0000  8 Sr 3.52
Sb3 0.6653 0.6653 0.0000  1 Ba 3.49, 4 Sr 3.62
Cl1 0.0821 0.0821 0.0000  4 Sr 2.79
Cl2 0.9179 0.9179 0.0000  4 Sr 2.79

Record 5
The following is a DFT calculation (PBE) of a relaxed structure of Cr2TcPt.

Output
* formation energy from the elements: 0.1050 eV/atom
* DOS(E_F): 6.2 states/eV/f.u.

a b c (Å): 8.8320 8.8320 8.8320
angles (deg): 17.49 17.49 17.49
With the nearest neighbours (Å) after each atom.
Sites, in units of the cell vectors:
Cr1 0.2478 0.2478 0.2478  3 Tc 2.62, 6 Cr 2.69, 3 Pt 2.72
Cr2 0.7522 0.7522 0.7522  3 Tc 2.62, 6 Cr 2.69, 3 Pt 2.72
Tc1 0.5000 0.5000 0.5000  6 Cr 2.62, 6 Tc 2.69
Pt1 0.0000 0.0000 0.0000  6 Pt 2.69, 6 Cr 2.72

Record 6
The following is a DFT calculation (PBE) of a relaxed structure of CeU2CrN4.

Output
* ΔE_f (raw): -1.207 eV/atom
* DOS(E_F): 8.2 states/eV/f.u.

a b c (Å): 6.0195 6.0195 11.2956
angles (deg): 90.00 90.00 147.87
With the nearest neighbours (Å) after each atom.
Sites, in units of the cell vectors:
Ce1 0.1003 0.8997 0.7500  6 N 2.48-2.67
Ce2 0.8997 0.1003 0.2500  6 N 2.48-2.67
U1 0.3669 0.6331 0.5546  6 N 2.26-2.43
U2 0.3669 0.6331 0.9454  6 N 2.26-2.43
U3 0.6331 0.3669 0.0546  6 N 2.26-2.43
U4 0.6331 0.3669 0.4454  6 N 2.26-2.43
Cr1 0.1609 0.8391 0.2500  4 N 1.95-2.05
Cr2 0.8391 0.1609 0.7500  4 N 1.95-2.05
N1 0.0000 0.0000 0.0000  4 U 2.35
N2 0.0000 0.0000 0.5000  4 U 2.35
N3 0.2722 0.7278 0.1201  1 Cr 1.95
N4 0.2722 0.7278 0.3799  1 Cr 1.95
N5 0.4417 0.5583 0.7500  2 Cr 2.05
N6 0.5583 0.4417 0.2500  2 Cr 2.05
N7 0.7278 0.2722 0.6201  1 Cr 1.95
N8 0.7278 0.2722 0.8799  1 Cr 1.95